A relaxed Tb3Nd8Ho3 crystal, computed with PBE-GGA.

Results
- Mass density: 7.45 g cm⁻³
- Calculated total energy: -4.591 eV/atom
- Crystal system: orthorhombic

Cell lengths 5.6970, 9.7950, 9.7950 Å; angles 102.08, 73.12, 73.12 degrees
Closest atoms and distances in Å follow each position.
Fractional coordinates of all 14 atoms:
1 Nd 0.3421 0.8818 0.4336  6 Nd 3.27-3.58, 2 Tb 3.64
2 Nd 0.1628 0.2334 0.4411  4 Nd 3.16-3.39
3 Nd 0.6579 0.1182 0.5664  6 Nd 3.27-3.58, 2 Tb 3.64
4 Nd 0.1628 0.4411 0.2334  4 Nd 3.16-3.39
5 Nd 0.3421 0.4336 0.8818  6 Nd 3.27-3.58, 2 Tb 3.64
6 Nd 0.8372 0.7666 0.5589  4 Nd 3.16-3.39
7 Nd 0.8372 0.5589 0.7666  4 Nd 3.16-3.39
8 Nd 0.6579 0.5664 0.1182  6 Nd 3.27-3.58, 2 Tb 3.64
9 Ho 0.1985 0.8016 0.8016  1 Ho 3.30, 4 Tb 3.49-3.58, 4 Nd 3.59
10 Ho 0.8015 0.1984 0.1984  1 Ho 3.30, 4 Tb 3.49-3.58, 4 Nd 3.59
11 Ho 0.5000 0.5000 0.5000  2 Ho 3.30
12 Tb 0.0000 0.1796 0.8204  2 Ho 3.49, 8 Nd 3.64-3.80
13 Tb 0.5000 0.0000 0.0000  4 Ho 3.58, 4 Tb 3.95
14 Tb 0.0000 0.8204 0.1796  2 Ho 3.49, 8 Nd 3.64-3.80